*a*
## AcLa7Pm4 (PBE-GGA)

Data for AcLa7Pm4 after structural relaxation.

The structure in POSCAR format:
```
AcLa7Pm4
1.0
8.2443 -3.1548 0.0000
8.2443 3.1548 0.0000
-4.5083 0.0000 8.6146
Ac La Pm
1 7 4
direct
0.0000 0.0000 0.0000
0.0902 0.0902 0.4622
0.2123 0.2123 0.8950
0.2313 0.2313 0.2647
0.5000 0.5000 0.0000
0.7687 0.7687 0.7353
0.7877 0.7877 0.1050
0.9098 0.9098 0.5378
0.3323 0.3323 0.6500
0.4367 0.4367 0.2968
0.5633 0.5633 0.7032
0.6677 0.6677 0.3500
```

Output
As for the space-group type: C2/m.

*b*
## AcLa7Pm4 (PBE-GGA)

Data for AcLa7Pm4 after structural relaxation.

The structure in POSCAR format:
```
AcLa7Pm4
1.0
6.4817 0.0000 0.0000
0.0123 7.4419 0.0000
3.2192 1.8108 9.1301
Ac La Pm
1 7 4
direct
0.0000 0.0000 0.0000
0.0000 0.5000 0.0000
0.0012 0.3366 0.6634
0.4969 0.9150 0.3367
0.5004 0.2541 0.9989
0.4996 0.7459 0.0011
0.5031 0.0850 0.6633
0.9988 0.6634 0.3366
0.0021 0.1676 0.3354
0.4977 0.5832 0.6663
0.5023 0.4168 0.3337
0.9979 0.8324 0.6646
```

Output
As for the space-group type: P-1.

What is the stability order? It is *b*, *a*, from most stable to least stable.

*a*
## Ac2LaPm (PBE-GGA)

Data for Ac2LaPm after structural relaxation.

The structure in POSCAR format:
```
Ac2LaPm
1.0
1.9360 1.1177 12.4324
-1.9360 1.1177 12.4324
0.0000 -2.2355 12.4324
Ac La Pm
2 1 1
direct
0.0000 0.0000 0.0000
0.1691 0.1691 0.1691
0.4171 0.4171 0.4171
0.5851 0.5851 0.5851
```

Output
As for the space-group type: R3m.

*b*
## Ac2LaPm (PBE-GGA)

Data for Ac2LaPm after structural relaxation.

The structure in POSCAR format:
```
Ac2LaPm
1.0
7.2757 0.0000 0.0000
2.1032 7.5311 0.0000
1.4739 1.6263 11.8508
Ac La Pm
8 4 4
direct
0.1531 0.0606 0.1019
0.1566 0.5607 0.1006
0.3446 0.4394 0.3988
0.3463 0.9392 0.3984
0.6537 0.0608 0.6016
0.6554 0.5606 0.6012
0.8434 0.4393 0.8994
0.8469 0.9394 0.8981
0.1098 0.6855 0.6493
0.3889 0.3140 0.8505
0.6111 0.6860 0.1495
0.8902 0.3145 0.3507
0.1095 0.1843 0.6514
0.3907 0.8163 0.8484
0.6093 0.1837 0.1516
0.8905 0.8157 0.3486
```

Output
As for the space-group type: P-1.

*c*
## Ac2LaPm (PBE-GGA)

Data for Ac2LaPm after structural relaxation.

The structure in POSCAR format:
```
Ac2LaPm
1.0
3.8683 0.0000 0.0000
0.0000 3.8683 0.0000
0.0000 0.0000 10.7231
Ac La Pm
2 1 1
direct
0.0000 0.0000 0.2459
0.0000 0.0000 0.7541
0.5000 0.5000 0.5000
0.5000 0.5000 0.0000
```

Output
As for the space-group type: P4/mmm.

*d*
## Ac2LaPm (PBE-GGA)

Data for Ac2LaPm after structural relaxation.

The structure in POSCAR format:
```
Ac2LaPm
1.0
5.4588 0.0000 0.0000
0.0000 5.4588 0.0000
0.0000 0.0000 5.3609
Ac La Pm
2 1 1
direct
0.0000 0.5000 0.0000
0.5000 0.0000 0.0000
0.0000 0.0000 0.5000
0.5000 0.5000 0.5000
```

Output
As for the space-group type: P4/mmm.

What is the stability order? It is *d*, *c*, *a*, *b*, from most stable to least stable.

*a*
## Ac2LaPm (PBE-GGA)

Data for Ac2LaPm after structural relaxation.

The structure in POSCAR format:
```
Ac2LaPm
1.0
3.8658 -5.3500 0.0000
3.8658 5.3500 0.0000
0.0000 0.0000 3.8767
Ac La Pm
2 1 1
direct
0.0000 0.5000 0.0000
0.5000 0.0000 0.0000
0.0000 0.0000 0.5000
0.5000 0.5000 0.5000
```

Output
As for the space-group type: Cmmm.

*b*
## Ac2LaPm (PBE-GGA)

Data for Ac2LaPm after structural relaxation.

The structure in POSCAR format:
```
Ac2LaPm
1.0
1.8864 1.0891 13.3434
-1.8864 1.0891 13.3434
0.0000 -2.1783 13.3434
Ac La Pm
2 1 1
direct
0.0896 0.0896 0.0896
0.9104 0.9104 0.9104
0.0000 0.0000 0.0000
0.5000 0.5000 0.5000
```

Output
As for the space-group type: R-3m.

What is the stability order? It is *a*, *b*, from most stable to least stable.

*a*
## AcLa3Pm (PBE-GGA)

Data for AcLa3Pm after structural relaxation.

The structure in POSCAR format:
```
AcLa3Pm
1.0
5.9692 -2.6605 0.0000
5.9692 2.6605 0.0000
-0.0211 0.0000 11.9286
Ac La Pm
2 6 2
direct
0.0475 0.0475 0.3460
0.9525 0.9525 0.6540
0.1501 0.1501 0.0475
0.2522 0.2522 0.7555
0.3469 0.3469 0.4492
0.6531 0.6531 0.5508
0.7478 0.7478 0.2445
0.8499 0.8499 0.9525
0.4470 0.4470 0.1450
0.5530 0.5530 0.8550
```

Output
As for the space-group type: C2/m.

*b*
## AcLa3Pm (PBE-GGA)

Data for AcLa3Pm after structural relaxation.

The structure in POSCAR format:
```
AcLa3Pm
1.0
6.1792 0.0000 0.0000
2.8717 5.9945 0.0000
0.5155 -0.2390 10.4109
Ac La Pm
2 6 2
direct
0.0498 0.4251 0.1712
0.9502 0.5749 0.8288
0.0650 0.2254 0.5386
0.2715 0.9243 0.9176
0.3835 0.8230 0.2474
0.6165 0.1770 0.7526
0.7285 0.0757 0.0824
0.9350 0.7746 0.4614
0.4647 0.7087 0.6043
0.5353 0.2913 0.3957
```

Output
As for the space-group type: P-1.

What is the stability order? It is *a*, *b*, from most stable to least stable.